No. 1
# TlCd3Br PBE relaxed
data_TlCd3Br
_symmetry_space_group_name_H-M 'P m -3 m'
_symmetry_Int_Tables_number 221
_symmetry_space_group_name_Hall '-P 4 2 3'
_cell_length_a 5.933
_cell_length_b 5.933
_cell_length_c 5.933
_cell_angle_alpha 90.00
_cell_angle_beta 90.00
_cell_angle_gamma 90.00
loop_
_atom_site_label
_atom_site_fract_x
_atom_site_fract_y
_atom_site_fract_z
Tl1 0.000 0.000 0.000
Cd1 0.000 0.500 0.500
Br1 0.500 0.500 0.500
# Distance to the lowest polymorph of the same formula = 264 meV per atom

***

No. 2
# TlCdBr PBE relaxed
data_TlCdBr
_symmetry_space_group_name_H-M 'F -4 3 m'
_symmetry_Int_Tables_number 216
_symmetry_space_group_name_Hall 'F -4 2 3'
_cell_length_a 7.722
_cell_length_b 7.722
_cell_length_c 7.722
_cell_angle_alpha 90.00
_cell_angle_beta 90.00
_cell_angle_gamma 90.00
loop_
_atom_site_label
_atom_site_fract_x
_atom_site_fract_y
_atom_site_fract_z
Tl1 0.000 0.000 0.000
Cd1 0.250 0.250 0.750
Br1 0.250 0.250 0.250
# Distance to the lowest polymorph of the same formula = 33 meV per atom

***

No. 3
# TlCd4Br8 PBE relaxed
data_TlCd4Br8
_symmetry_space_group_name_H-M 'F -4 3 m'
_symmetry_Int_Tables_number 216
_symmetry_space_group_name_Hall 'F -4 2 3'
_cell_length_a 12.386
_cell_length_b 12.386
_cell_length_c 12.386
_cell_angle_alpha 90.00
_cell_angle_beta 90.00
_cell_angle_gamma 90.00
loop_
_atom_site_label
_atom_site_fract_x
_atom_site_fract_y
_atom_site_fract_z
Tl1 0.000 0.000 0.000
Cd1 0.120 0.120 0.620
Br1 0.112 0.112 0.388
Br2 0.146 0.146 0.854
# Distance to the lowest polymorph of the same formula = 29 meV per atom

***

No. 4
# TlCdBr2 PBE relaxed
data_TlCdBr2
_symmetry_space_group_name_H-M 'P 1 2/m 1'
_symmetry_Int_Tables_number 10
_symmetry_space_group_name_Hall '-P 2y'
_cell_length_a 4.610
_cell_length_b 4.594
_cell_length_c 6.478
_cell_angle_alpha 90.00
_cell_angle_beta 90.07
_cell_angle_gamma 90.00
loop_
_atom_site_label
_atom_site_fract_x
_atom_site_fract_y
_atom_site_fract_z
Tl1 0.000 0.000 0.000
Cd1 0.500 0.500 0.500
Br1 0.000 0.000 0.500
Br2 0.500 0.500 0.000
# Distance to the lowest polymorph of the same formula = 36 meV per atom

***

No. 5
Below is an optimized crystal structure of Tl5Cd2Br12, with properties calculated at the PBE level.

Geometry as CIF:
```
data_Tl5Cd2Br12
_symmetry_space_group_name_H-M 'C 1 2/m 1'
_symmetry_Int_Tables_number 12
_symmetry_space_group_name_Hall '-C 2y'
_cell_length_a 17.608
_cell_length_b 8.314
_cell_length_c 9.642
_cell_angle_alpha 90.00
_cell_angle_beta 109.60
_cell_angle_gamma 90.00
loop_
_atom_site_label
_atom_site_fract_x
_atom_site_fract_y
_atom_site_fract_z
Tl1 0.000 0.000 0.000
Tl2 0.182 0.500 0.343
Tl3 0.208 0.500 0.869
Cd1 0.000 0.257 0.500
Br1 0.007 0.500 0.707
Br2 0.011 0.000 0.702
Br3 0.121 0.231 0.078
Br4 0.167 0.257 0.586
```

***

No. 6
# TlCdBr PBE relaxed
data_TlCdBr
_symmetry_space_group_name_H-M 'A m m 2'
_symmetry_Int_Tables_number 38
_symmetry_space_group_name_Hall 'A 2 -2'
_cell_length_a 14.991
_cell_length_b 3.839
_cell_length_c 6.528
_cell_angle_alpha 90.00
_cell_angle_beta 90.00
_cell_angle_gamma 90.00
loop_
_atom_site_label
_atom_site_fract_x
_atom_site_fract_y
_atom_site_fract_z
Tl1 0.161 0.000 0.000
Cd1 0.000 0.000 0.346
Cd2 0.500 0.000 0.115
Br1 0.380 0.000 0.452
# Distance to the lowest polymorph of the same formula = 89 meV per atom

***

No. 7
# TlCdBr2 PBE relaxed
data_TlCdBr2
_symmetry_space_group_name_H-M 'P 4/m m m'
_symmetry_Int_Tables_number 123
_symmetry_space_group_name_Hall '-P 4 2'
_cell_length_a 5.539
_cell_length_b 5.539
_cell_length_c 3.894
_cell_angle_alpha 90.00
_cell_angle_beta 90.00
_cell_angle_gamma 90.00
loop_
_atom_site_label
_atom_site_fract_x
_atom_site_fract_y
_atom_site_fract_z
Tl1 0.000 0.000 0.000
Cd1 0.500 0.500 0.000
Br1 0.000 0.500 0.500
# Distance to the lowest polymorph of the same formula = 109 meV per atom

***

No. 8
# TlCd2Br2 PBE relaxed
data_TlCd2Br2
_symmetry_space_group_name_H-M 'P 4/m b m'
_symmetry_Int_Tables_number 127
_symmetry_space_group_name_Hall '-P 4 2ab'
_cell_length_a 8.392
_cell_length_b 8.392
_cell_length_c 4.590
_cell_angle_alpha 90.00
_cell_angle_beta 90.00
_cell_angle_gamma 90.00
loop_
_atom_site_label
_atom_site_fract_x
_atom_site_fract_y
_atom_site_fract_z
Tl1 0.000 0.000 0.000
Cd1 0.115 0.385 0.000
Br1 0.235 0.735 0.500
# Distance to the lowest polymorph of the same formula = 76 meV per atom

***

| no. | formation energy without anion corrections (eV/atom) | uncorrected energy (eV per atom) | V (Å³/cell) |
| --- | --- | --- | --- |
| 1 | 0.33 | -1.03 | 208.8 |
| 2 | -0.33 | -1.98 | 460.5 |
| 3 | -0.71 | -2.20 | 1900.1 |
| 4 | -0.55 | -2.21 | 137.2 |
| 5 | -0.70 | -2.47 | 1329.6 |
| 6 | -0.28 | -1.93 | 375.7 |
| 7 | -0.48 | -2.14 | 119.5 |
| 8 | -0.34 | -1.85 | 323.3 |